[1]
Here is an optimized crystal structure of ZnSi2Tc from Alexandria. Energies are from GGA-PBEsol.

Unit cell a=3.2446 b=3.2446 c=5.0222 alpha=90.00 beta=90.00 gamma=90.00
Closest atoms and distances in Å follow each position.
Fractional coordinates of all 4 atoms:
Si  0.5000  0.5000  0.2632  2 Zn 2.49-2.54, 4 Tc 2.54, 4 Si 2.67
Si  0.0000  0.0000  0.9901  2 Tc 2.45-2.57, 4 Zn 2.55, 4 Si 2.67
Zn  0.5000  0.5000  0.7683  6 Si 2.49-2.55, 4 Tc 2.72
Tc  0.0000  0.0000  0.4784  6 Si 2.45-2.57, 4 Zn 2.72

Properties
DOS(E_F) ... 1.87 states/eV/f.u.
Formation energy from raw total energies ... -0.183 eV per atom
Mass density ... 6.90 g/cm³
Crystal system ... tetragonal
DFT total energy ... -6.2683 eV per atom

---

[2]
Here is an optimized crystal structure of SrAlW from Alexandria. Energies are from GGA-PBEsol.

Unit cell a=4.7665 b=4.7665 c=4.7665 alpha=60.00 beta=60.00 gamma=60.00
Closest atoms and distances in Å follow each position.
Fractional coordinates of all 3 atoms:
Al  0.0000  0.0000  0.0000  4 W 2.92
Sr  0.5000  0.5000  0.5000  4 W 2.92
W  0.2500  0.2500  0.2500  4 Al 2.92, 4 Sr 2.92

Properties
DOS(E_F) ... 1.38 states/eV/f.u.
Mass density ... 6.47 g/cm³
Crystal system ... cubic
ΔE_f ... 1.420 eV/atom
DFT total energy ... -5.1594 eV per atom

---

[3]
Here is an optimized crystal structure of Sr2YTc from Alexandria. Energies are from GGA-PBEsol.

Unit cell a=4.5860 b=4.5860 c=6.1710 alpha=111.81 beta=111.81 gamma=90.00
Closest atoms and distances in Å follow each position.
Fractional coordinates of all 4 atoms:
Sr  0.2500  0.7500  0.5000  4 Sr 3.24, 4 Tc 3.49, 4 Y 3.49
Sr  0.7500  0.2500  0.5000  4 Sr 3.24, 4 Y 3.49, 4 Tc 3.49
Y  0.0000  0.0000  0.0000  4 Tc 3.24, 8 Sr 3.49
Tc  0.5000  0.5000  0.0000  4 Y 3.24, 8 Sr 3.49

Properties
DOS(E_F) ... 4.42 states/eV/f.u.
Mass density ... 5.45 g/cm³
Crystal system ... tetragonal
ΔE_f ... 0.765 eV/atom
DFT total energy ... -4.6773 eV per atom

---

[4]
Here is an optimized crystal structure of Li2AlAu from Alexandria. Energies are from GGA-PBEsol.

Unit cell a=2.9130 b=3.7137 c=5.5095 alpha=90.00 beta=90.00 gamma=90.00
Closest atoms and distances in Å follow each position.
Fractional coordinates of all 4 atoms:
Al  0.5000  0.5000  0.0000  2 Au 2.75, 8 Li 2.77, 2 Al 2.91
Li  0.0000  0.0000  0.2629  4 Li 2.61-2.91, 4 Au 2.70, 4 Al 2.77
Li  0.0000  0.0000  0.7371  4 Li 2.61-2.91, 4 Au 2.70, 4 Al 2.77
Au  0.5000  0.5000  0.5000  8 Li 2.70, 2 Al 2.75, 2 Au 2.91

Properties
DOS(E_F) ... 1.15 states/eV/f.u.
Mass density ... 6.63 g/cm³
Crystal system ... orthorhombic
ΔE_f ... -0.343 eV/atom
DFT total energy ... -3.3303 eV per atom

---

[5]
Here is an optimized crystal structure of TiFe3Pb from Alexandria. Energies are from GGA-PBEsol.

Unit cell a=4.3742 b=4.3742 c=4.3742 alpha=90.00 beta=90.00 gamma=90.00
Closest atoms and distances in Å follow each position.
Fractional coordinates of all 5 atoms:
Fe  0.5000  0.0000  0.0000  2 Ti 2.19
Fe  0.0000  0.5000  0.0000  2 Ti 2.19
Fe  0.0000  0.0000  0.5000  2 Ti 2.19
Ti  0.0000  0.0000  0.0000  6 Fe 2.19
Pb  0.5000  0.5000  0.5000  12 Fe 3.09

Properties
DOS(E_F) ... 4.75 states/eV/f.u.
Mass density ... 8.38 g/cm³
Crystal system ... cubic
ΔE_f ... 1.060 eV/atom
DFT total energy ... -6.7824 eV per atom

---

[6]
Here is an optimized crystal structure of Li2Cu5F12 from Alexandria. Energies are from GGA-PBEsol.

Unit cell a=6.5876 b=6.7160 c=9.1325 alpha=90.00 beta=90.00 gamma=88.58
Closest atoms and distances in Å follow each position.
Fractional coordinates of all 38 atoms:
F  0.1965  0.9855  0.5011  3 Cu 2.00-2.03
F  0.5269  0.8034  0.0192  2 Li 1.94-2.06, 2 Cu 2.02-2.03
F  0.4731  0.1966  0.9808  2 Li 1.94-2.06, 2 Cu 2.02-2.03
F  0.0178  0.3019  0.3401  3 Cu 1.97-2.02
F  0.7114  0.4776  0.1713  1 Li 1.86, 2 Cu 2.02-2.03
F  0.5178  0.8019  0.6599  3 Cu 1.97-2.02
F  0.6965  0.4855  0.4989  3 Cu 2.00-2.03
F  0.6883  0.5040  0.8313  2 Cu 1.94, 1 Li 1.98
F  0.5214  0.7998  0.3240  3 Cu 2.04-2.13, 1 Li 2.19
F  0.7886  0.0224  0.1713  1 Li 1.86, 2 Cu 2.02-2.03
F  0.0214  0.2998  0.6760  3 Cu 2.04-2.13, 1 Li 2.19
F  0.8117  0.9960  0.8313  2 Cu 1.94, 1 Li 1.98
F  0.2114  0.9776  0.8287  1 Li 1.86, 2 Cu 2.02-2.03
F  0.4786  0.2002  0.6760  3 Cu 2.04-2.13, 1 Li 2.19
F  0.8035  0.0145  0.4989  3 Cu 2.00-2.03
F  0.9786  0.7002  0.3240  3 Cu 2.04-2.13, 1 Li 2.19
F  0.9822  0.6981  0.6599  3 Cu 1.97-2.02
F  0.9731  0.6966  0.0192  2 Li 1.94-2.06, 2 Cu 2.02-2.03
F  0.2886  0.5224  0.8287  1 Li 1.86, 2 Cu 2.02-2.03
F  0.3117  0.4960  0.1687  2 Cu 1.94, 1 Li 1.98
F  0.1883  0.0040  0.1687  2 Cu 1.94, 1 Li 1.98
F  0.3035  0.5145  0.5011  3 Cu 2.00-2.03
F  0.4822  0.1981  0.3401  3 Cu 1.97-2.02
F  0.0269  0.3034  0.9808  2 Li 1.94-2.06, 2 Cu 2.02-2.03
Cu  0.9987  0.0022  0.3315  6 F 1.94-2.04
Cu  0.0000  0.5000  0.5000  6 F 1.98-2.10
Cu  0.0013  0.9978  0.6685  6 F 1.94-2.04
Cu  0.5193  0.9717  0.8355  6 F 1.94-2.13
Cu  0.4987  0.5022  0.6685  6 F 1.94-2.04
Cu  0.5000  0.0000  0.5000  6 F 1.98-2.10
Cu  0.4807  0.0283  0.1645  6 F 1.94-2.13
Cu  0.5013  0.4978  0.3315  6 F 1.94-2.04
Cu  0.9807  0.5283  0.8355  6 F 1.94-2.13
Cu  0.0193  0.4717  0.1645  6 F 1.94-2.13
Li  0.2500  0.2500  0.8473  4 F 1.86-1.94
Li  0.7500  0.7500  0.1527  4 F 1.86-1.94
Li  0.0000  0.0000  0.0000  6 F 1.98-2.10
Li  0.5000  0.5000  0.0000  6 F 1.98-2.10

Properties
DOS(E_F) ... 8.89 states/eV/f.u.
Formation energy from raw total energies ... -1.773 eV per atom
Mass density ... 4.60 g/cm³
Crystal system ... monoclinic
DFT total energy ... -4.3378 eV per atom